1.
VASP calculation (PBEsol) on a geometry-optimized MnInAs2P structure.

The structure in POSCAR format:
```
MnInAs2P
1.0
5.0522 0.0000 0.0000
0.0000 5.0522 0.0000
0.0000 0.0000 5.0024
Mn In As P
1 1 2 1
Direct
0.0000 0.0000 0.0000
0.0000 0.0000 0.5000
0.0000 0.5000 0.5000
0.5000 0.0000 0.5000
0.5000 0.5000 0.0000
```

- symmetry = P4/mmm, No. 123
- E (eV per cell) = -21.49
- ΔH_f (0 K) (kJ/mol of atoms) = 140

2.
VASP calculation (PBEsol) on a geometry-optimized MnInSiAs2 structure.

The structure in POSCAR format:
```
MnInSiAs2
1.0
4.4125 0.0000 0.0000
0.0000 4.4125 0.0000
0.0000 0.0000 5.0989
Mn In Si As
1 1 1 2
Direct
0.0000 0.0000 0.0000
0.0000 0.0000 0.5000
0.5000 0.5000 0.5000
0.0000 0.5000 0.0000
0.5000 0.0000 0.0000
```

- symmetry = P4/mmm, No. 123
- E (eV per cell) = -26.07
- energy relative to the elements, uncorrected (meV per atom) = 527

3.
VASP calculation (PBEsol) on a geometry-optimized In3MoAs structure.

The structure in POSCAR format:
```
In3MoAs
1.0
5.2161 0.0000 0.0000
0.0000 5.2161 0.0000
0.0000 0.0000 5.2161
In Mo As
3 1 1
Direct
0.0000 0.0000 0.5000
0.0000 0.5000 0.0000
0.5000 0.0000 0.0000
0.0000 0.0000 0.0000
0.5000 0.5000 0.5000
```

- symmetry = Pm-3m, No. 221
- E (eV per cell) = -21.04
- ΔH_f (0 K) (kJ/mol of atoms) = 92

4.
VASP calculation (PBEsol) on a geometry-optimized InMo3As structure.

The structure in POSCAR format:
```
InMo3As
1.0
4.5797 0.0000 0.0000
0.0000 4.5797 0.0000
0.0000 0.0000 4.5797
In Mo As
1 3 1
Direct
0.0000 0.0000 0.0000
0.0000 0.5000 0.5000
0.5000 0.0000 0.5000
0.5000 0.5000 0.0000
0.5000 0.5000 0.5000
```

- symmetry = Pm-3m, No. 221
- E (eV per cell) = -38.46
- ΔH_f (0 K) (kJ/mol of atoms) = 95

5.
VASP calculation (PBEsol) on a geometry-optimized InMoAs2 structure.

The structure in POSCAR format:
```
InMoAs2
1.0
3.1418 0.0000 0.0000
0.0000 3.1418 0.0000
0.0000 0.0000 7.5313
In Mo As
1 1 2
Direct
0.0000 0.0000 0.0000
0.0000 0.0000 0.5000
0.5000 0.5000 0.3078
0.5000 0.5000 0.6922
```

- symmetry = P4/mmm, No. 123
- E (eV per cell) = -25.37
- ΔH_f (0 K) (kJ/mol of atoms) = -10

6.
VASP calculation (PBEsol) on a geometry-optimized InMoAs2Pb structure.

The structure in POSCAR format:
```
InMoAs2Pb
1.0
5.0975 0.0000 0.0000
0.0000 5.0975 0.0000
0.0000 0.0000 5.4682
In Mo As Pb
1 1 2 1
Direct
0.0000 0.0000 0.0000
0.5000 0.5000 0.5000
0.0000 0.5000 0.0000
0.5000 0.0000 0.0000
0.0000 0.0000 0.5000
```

- symmetry = P4/mmm, No. 123
- E (eV per cell) = -21.09
- ΔH_f (0 K) (kJ/mol of atoms) = 152

7.
VASP calculation (PBEsol) on a geometry-optimized In2SbMoAs structure.

The structure in POSCAR format:
```
In2SbMoAs
1.0
5.4482 0.0000 0.0000
0.0000 5.4482 0.0000
0.0000 0.0000 5.1319
In Sb Mo As
2 1 1 1
Direct
0.0000 0.5000 0.0000
0.5000 0.0000 0.0000
0.0000 0.0000 0.0000
0.0000 0.0000 0.5000
0.5000 0.5000 0.5000
```

- symmetry = P4/mmm, No. 123
- E (eV per cell) = -20.63
- energy relative to the elements, uncorrected (meV per atom) = 1354

8.
VASP calculation (PBEsol) on a geometry-optimized InAsSe2N structure.

The structure in POSCAR format:
```
InAsSe2N
1.0
4.8086 0.0000 0.0000
0.0000 4.8086 0.0000
0.0000 0.0000 3.9961
In As Se N
1 1 2 1
Direct
0.0000 0.0000 0.0000
0.5000 0.5000 0.0000
0.0000 0.5000 0.5000
0.5000 0.0000 0.5000
0.5000 0.5000 0.5000
```

- symmetry = P4/mmm, No. 123
- E (eV per cell) = -21.01
- energy relative to the elements, uncorrected (meV per atom) = 661

9.
VASP calculation (PBEsol) on a geometry-optimized InAsSe2N structure.

The structure in POSCAR format:
```
InAsSe2N
1.0
5.2151 0.0000 0.0000
0.0000 5.2151 0.0000
0.0000 0.0000 5.3147
In As Se N
1 1 2 1
Direct
0.0000 0.0000 0.0000
0.0000 0.0000 0.5000
0.0000 0.5000 0.0000
0.5000 0.0000 0.0000
0.5000 0.5000 0.5000
```

- symmetry = P4/mmm, No. 123
- E (eV per cell) = -15.98
- energy relative to the elements, uncorrected (meV per atom) = 1668

10.
VASP calculation (PBEsol) on a geometry-optimized InTe2AsN structure.

The structure in POSCAR format:
```
InTe2AsN
1.0
5.6673 0.0000 0.0000
0.0000 5.6673 0.0000
0.0000 0.0000 3.9704
In Te As N
1 2 1 1
Direct
0.0000 0.0000 0.0000
0.0000 0.5000 0.0000
0.5000 0.0000 0.0000
0.5000 0.5000 0.5000
0.0000 0.0000 0.5000
```

- symmetry = P4/mmm, No. 123
- E (eV per cell) = -18.53
- energy relative to the elements, uncorrected (meV per atom) = 1028

11.
VASP calculation (PBEsol) on a geometry-optimized ZnInAsN2 structure.

The structure in POSCAR format:
```
ZnInAsN2
1.0
3.8446 0.0000 0.0000
0.0000 3.8446 0.0000
0.0000 0.0000 5.0782
Zn In As N
1 1 1 2
Direct
0.0000 0.0000 0.0000
0.5000 0.5000 0.0000
0.0000 0.0000 0.5000
0.0000 0.5000 0.5000
0.5000 0.0000 0.5000
```

- symmetry = P4/mmm, No. 123
- E (eV per cell) = -21.29
- energy relative to the elements, uncorrected (meV per atom) = 1086

12.
VASP calculation (PBEsol) on a geometry-optimized NaIn2As structure.

The structure in POSCAR format:
```
NaIn2As
1.0
-4.3095 4.3095 2.7788
4.3095 -4.3095 2.7788
4.3095 4.3095 -2.7788
Na In As
2 4 2
Direct
0.0000 0.0000 0.0000
0.7500 0.2500 0.5000
0.1905 0.1250 0.5655
0.3750 0.8095 0.9345
0.5595 0.6250 0.4345
0.8750 0.4405 0.0655
0.2500 0.7500 0.5000
0.5000 0.5000 0.0000
```

- symmetry = I-42d, No. 122
- E (eV per cell) = -26.26
- ΔH_f (0 K) (kJ/mol of atoms) = -16